(1)
Computed, not measured: an optimized crystal structure of BaCoTe2 at the GGA-PBEsol level of DFT.

Unit cell a=5.2129 b=5.2129 c=4.1114 alpha=90.00 beta=90.00 gamma=90.61
Last column: nearest neighbours and their distance in Å.
Positions (direct):
1 Ba 0.0000 0.0000 0.0000  8 Te 3.32, 4 Co 3.67-3.71
2 Co 0.5000 0.5000 0.0000  8 Te 3.32, 4 Ba 3.67-3.71
3 Te 0.0000 0.5000 0.5000  4 Co 3.32, 4 Ba 3.32, 4 Te 3.67-3.71
4 Te 0.5000 0.0000 0.5000  4 Co 3.32, 4 Ba 3.32, 4 Te 3.67-3.71

Space group: Cmmm (65)
Size of the total moment: 2.05 μB per formula unit
Crystal system: orthorhombic
Total DFT energy (no corrections): -4.29 eV/atom

---

(2)
Computed, not measured: an optimized crystal structure of BeBN2 at the GGA-PBEsol level of DFT.

Unit cell a=5.1636 b=5.1636 c=5.1636 alpha=28.78 beta=28.78 gamma=28.78
Last column: nearest neighbours and their distance in Å.
Positions (direct):
1 Be 0.0000 0.0000 0.0000  2 N 1.55
2 B 0.5000 0.5000 0.5000  6 N 1.75
3 N 0.1044 0.1044 0.1044  1 Be 1.55
4 N 0.8956 0.8956 0.8956  1 Be 1.55

Space group: R-3m (166)
Size of the total moment: 0.00 μB per formula unit
Crystal system: trigonal
Total DFT energy (no corrections): -6.75 eV/atom

---

(3)
Computed, not measured: an optimized crystal structure of Li3FeP8O24 at the GGA-PBEsol level of DFT.

Unit cell a=7.1538 b=7.1538 c=9.9298 alpha=113.76 beta=113.76 gamma=68.65
Last column: nearest neighbours and their distance in Å.
Positions (direct):
1 Li 0.0000 0.0000 0.0000  6 O 1.97-2.12
2 Li 0.4124 0.0356 0.2251  4 O 1.93-1.98
3 Li 0.9644 0.5876 0.7749  4 O 1.93-1.98
4 Fe 0.8883 0.1117 0.5000  6 O 1.84-1.98
5 P 0.2024 0.7951 0.2828  4 O 1.48-1.61
6 P 0.2049 0.7976 0.7172  4 O 1.48-1.61
7 P 0.2264 0.3751 0.0699  4 O 1.48-1.64
8 P 0.2462 0.3370 0.5424  4 O 1.47-1.62
9 P 0.6249 0.7736 0.9301  4 O 1.48-1.64
10 P 0.6630 0.7538 0.4576  4 O 1.47-1.62
11 P 0.6759 0.2989 0.7651  4 O 1.46-1.60
12 P 0.7011 0.3241 0.2349  4 O 1.46-1.60
13 O 0.0254 0.9314 0.3562  1 P 1.54
14 O 0.0573 0.3185 0.5694  1 P 1.54
15 O 0.0686 0.9746 0.6438  1 P 1.54
16 O 0.1220 0.4277 0.9228  1 P 1.48
17 O 0.1496 0.7698 0.8348  1 P 1.48
18 O 0.1593 0.5664 0.2153  2 P 1.59-1.64
19 O 0.2069 0.1816 0.0796  1 P 1.48
20 O 0.2239 0.5837 0.5762  2 P 1.61-1.62
21 O 0.2302 0.8504 0.1652  1 P 1.48
22 O 0.2857 0.2227 0.3928  1 P 1.47
23 O 0.4163 0.7761 0.4238  2 P 1.61-1.62
24 O 0.4336 0.8407 0.7847  2 P 1.59-1.64
25 O 0.4394 0.2708 0.6815  2 P 1.60
26 O 0.4736 0.3657 0.1180  2 P 1.58-1.62
27 O 0.5723 0.8780 0.0772  1 P 1.48
28 O 0.6343 0.5264 0.8820  2 P 1.58-1.62
29 O 0.6815 0.9427 0.4306  1 P 1.54
30 O 0.6834 0.2476 0.3549  1 P 1.56
31 O 0.7292 0.5606 0.3185  2 P 1.60
32 O 0.7524 0.3166 0.6451  1 P 1.56
33 O 0.7773 0.7143 0.6072  1 P 1.47
34 O 0.8017 0.1367 0.8414  1 P 1.46
35 O 0.8184 0.7931 0.9204  1 P 1.48
36 O 0.8633 0.1983 0.1586  1 P 1.46

Space group: C2 (5)
Size of the total moment: 3.91 μB per formula unit
Crystal system: monoclinic
Total DFT energy (no corrections): -7.19 eV/atom